<1>
A relaxed RbCaCo3 crystal, computed with PBE.

Cell and atoms, written as POSCAR:
```
RbCaCo3
1.0
5.3073 0.0000 0.0000
0.0000 5.3073 0.0000
0.0000 0.0000 5.3073
Rb Ca Co
1 1 3
Direct
0.0000 0.0000 0.0000 Rb
0.5000 0.5000 0.5000 Ca
0.0000 0.5000 0.5000 Co
0.5000 0.0000 0.5000 Co
0.5000 0.5000 0.0000 Co
```

As for the density of states at the Fermi level: 6.7 states/eV/f.u. The volume comes out at 29.899 Å³/atom.

<2>
A relaxed RbCaCo3 crystal, computed with PBE.

Cell and atoms, written as POSCAR:
```
RbCaCo3
1.0
4.8374 0.0000 0.0000
0.0000 4.8374 0.0000
0.0000 0.0000 4.8374
Rb Ca Co
1 1 3
Direct
0.0000 0.0000 0.0000 Rb
0.5000 0.5000 0.5000 Ca
0.0000 0.0000 0.5000 Co
0.0000 0.5000 0.0000 Co
0.5000 0.0000 0.0000 Co
```

As for the density of states at the Fermi level: 7.5 states/eV/f.u. The volume comes out at 22.639 Å³/atom.

Name the most stable of them. <1>.

<1>
A relaxed CaCo2Re crystal, computed with PBE.

Cell and atoms, written as POSCAR:
```
CaCo2Re
1.0
3.2477 -3.2533 0.0000
3.2477 3.2533 0.0000
0.0000 0.0000 2.7717
Ca Co Re
1 2 1
Direct
0.0000 0.0000 0.0000 Ca
0.0000 0.5000 0.5000 Co
0.5000 0.0000 0.5000 Co
0.5000 0.5000 0.0000 Re
```

As for the density of states at the Fermi level: 4.0 states/eV/f.u. The volume comes out at 14.643 Å³/atom.

<2>
A relaxed CaCo2Re crystal, computed with PBE.

Cell and atoms, written as POSCAR:
```
CaCo2Re
1.0
0.0000 3.0741 3.0741
3.0741 0.0000 3.0741
3.0741 3.0741 0.0000
Ca Co Re
1 2 1
Direct
0.0000 0.0000 0.0000 Ca
0.5000 0.5000 0.5000 Co
0.7500 0.7500 0.7500 Co
0.2500 0.2500 0.2500 Re
```

As for the density of states at the Fermi level: 7.4 states/eV/f.u. The volume comes out at 14.526 Å³/atom.

<3>
A relaxed CaCo2Re crystal, computed with PBE.

Cell and atoms, written as POSCAR:
```
CaCo2Re
1.0
0.0000 3.1094 3.1094
3.1094 0.0000 3.1094
3.1094 3.1094 0.0000
Ca Co Re
1 2 1
Direct
0.0000 0.0000 0.0000 Ca
0.2500 0.2500 0.2500 Co
0.7500 0.7500 0.7500 Co
0.5000 0.5000 0.5000 Re
```

As for the density of states at the Fermi level: 5.4 states/eV/f.u. The volume comes out at 15.031 Å³/atom.

<4>
A relaxed CaCo2Re crystal, computed with PBE.

Cell and atoms, written as POSCAR:
```
CaCo2Re
1.0
-3.4913 3.4913 2.9097
3.4913 -3.4913 2.9097
3.4913 3.4913 -2.9097
Ca Co Re
2 4 2
Direct
0.0000 0.0000 0.0000 Ca
0.7500 0.2500 0.5000 Ca
0.1896 0.1250 0.5646 Co
0.3750 0.8104 0.9354 Co
0.5604 0.6250 0.4354 Co
0.8750 0.4396 0.0646 Co
0.2500 0.7500 0.5000 Re
0.5000 0.5000 0.0000 Re
```

As for the density of states at the Fermi level: 1.3 states/eV/f.u. The volume comes out at 17.733 Å³/atom.

Name the most stable of them. <1>.

<1>
A relaxed CaCoRe3 crystal, computed with PBE.

Cell and atoms, written as POSCAR:
```
CaCoRe3
1.0
4.5287 0.0000 0.0000
0.0000 4.5287 0.0000
0.0000 0.0000 4.5287
Ca Co Re
1 1 3
Direct
0.0000 0.0000 0.0000 Ca
0.5000 0.5000 0.5000 Co
0.0000 0.5000 0.5000 Re
0.5000 0.0000 0.5000 Re
0.5000 0.5000 0.0000 Re
```

As for the density of states at the Fermi level: 6.3 states/eV/f.u. The volume comes out at 18.576 Å³/atom.

<2>
A relaxed CaCoRe3 crystal, computed with PBE.

Cell and atoms, written as POSCAR:
```
CaCoRe3
1.0
4.4982 0.0000 0.0000
0.0000 4.4982 0.0000
0.0000 0.0000 4.4982
Ca Co Re
1 1 3
Direct
0.0000 0.0000 0.0000 Ca
0.5000 0.5000 0.5000 Co
0.0000 0.0000 0.5000 Re
0.0000 0.5000 0.0000 Re
0.5000 0.0000 0.0000 Re
```

As for the density of states at the Fermi level: 7.5 states/eV/f.u. The volume comes out at 18.203 Å³/atom.

Name the most stable of them. <1>.

<1>
A relaxed Ca3CoRe crystal, computed with PBE.

Cell and atoms, written as POSCAR:
```
Ca3CoRe
1.0
5.4457 0.0000 0.0000
0.0000 5.4457 0.0000
0.0000 0.0000 5.4457
Ca Co Re
3 1 1
Direct
0.0000 0.0000 0.5000 Ca
0.0000 0.5000 0.0000 Ca
0.5000 0.0000 0.0000 Ca
0.5000 0.5000 0.5000 Co
0.0000 0.0000 0.0000 Re
```

As for the density of states at the Fermi level: 17.0 states/eV/f.u. The volume comes out at 32.300 Å³/atom.

<2>
A relaxed Ca3CoRe crystal, computed with PBE.

Cell and atoms, written as POSCAR:
```
Ca3CoRe
1.0
5.1770 0.0000 0.0000
0.0000 5.1770 0.0000
0.0000 0.0000 5.1770
Ca Co Re
3 1 1
Direct
0.0000 0.0000 0.5000 Ca
0.0000 0.5000 0.0000 Ca
0.5000 0.0000 0.0000 Ca
0.0000 0.0000 0.0000 Co
0.5000 0.5000 0.5000 Re
```

As for the density of states at the Fermi level: 8.5 states/eV/f.u. The volume comes out at 27.751 Å³/atom.

Name the most stable of them. <2>.

<1>
A relaxed CaCoRh3 crystal, computed with PBE.

Cell and atoms, written as POSCAR:
```
CaCoRh3
1.0
4.5534 0.0000 0.0000
0.0000 4.5534 0.0000
0.0000 0.0000 4.5534
Ca Co Rh
1 1 3
Direct
0.0000 0.0000 0.0000 Ca
0.5000 0.5000 0.5000 Co
0.0000 0.5000 0.5000 Rh
0.5000 0.0000 0.5000 Rh
0.5000 0.5000 0.0000 Rh
```

As for the density of states at the Fermi level: 4.9 states/eV/f.u. The volume comes out at 18.881 Å³/atom.

<2>
A relaxed CaCoRh3 crystal, computed with PBE.

Cell and atoms, written as POSCAR:
```
CaCoRh3
1.0
4.6687 0.0000 0.0000
0.0000 4.6687 0.0000
0.0000 0.0000 4.6687
Ca Co Rh
1 1 3
Direct
0.0000 0.0000 0.0000 Ca
0.5000 0.5000 0.5000 Co
0.0000 0.0000 0.5000 Rh
0.0000 0.5000 0.0000 Rh
0.5000 0.0000 0.0000 Rh
```

As for the density of states at the Fermi level: 22.9 states/eV/f.u. The volume comes out at 20.353 Å³/atom.

Name the most stable of them. <1>.

<1>
A relaxed CaCoRu2 crystal, computed with PBE.

Cell and atoms, written as POSCAR:
```
CaCoRu2
1.0
-3.6785 3.6785 2.5427
3.6785 -3.6785 2.5427
3.6785 3.6785 -2.5427
Ca Co Ru
2 2 4
Direct
0.0000 0.0000 0.0000 Ca
0.7500 0.2500 0.5000 Ca
0.2500 0.7500 0.5000 Co
0.5000 0.5000 0.0000 Co
0.1892 0.6250 0.0642 Ru
0.3750 0.4392 0.5642 Ru
0.5608 0.1250 0.9358 Ru
0.8750 0.8108 0.4358 Ru
```

As for the density of states at the Fermi level: 6.1 states/eV/f.u. The volume comes out at 17.203 Å³/atom.

<2>
A relaxed CaCoRu2 crystal, computed with PBE.

Cell and atoms, written as POSCAR:
```
CaCoRu2
1.0
-1.3881 2.2668 4.9429
1.3881 -2.2668 4.9429
1.3881 2.2668 -4.9429
Ca Co Ru
1 1 2
Direct
0.0000 0.0000 0.0000 Ca
0.5000 0.5000 0.0000 Co
0.2867 0.7867 0.5000 Ru
0.7133 0.2133 0.5000 Ru
```

As for the density of states at the Fermi level: 5.4 states/eV/f.u. The volume comes out at 15.553 Å³/atom.

<3>
A relaxed CaCoRu2 crystal, computed with PBE.

Cell and atoms, written as POSCAR:
```
CaCoRu2
1.0
-1.4658 2.3241 4.6912
1.4658 -2.3241 4.6912
1.4658 2.3241 -4.6912
Ca Co Ru
1 1 2
Direct
0.0000 0.0000 0.0000 Ca
0.2727 0.7727 0.5000 Co
0.4925 0.4925 0.0000 Ru
0.7219 0.2219 0.5000 Ru
```

As for the density of states at the Fermi level: 6.0 states/eV/f.u. The volume comes out at 15.981 Å³/atom.

<4>
A relaxed CaCoRu2 crystal, computed with PBE.

Cell and atoms, written as POSCAR:
```
CaCoRu2
1.0
0.0000 3.1505 3.1505
3.1505 0.0000 3.1505
3.1505 3.1505 0.0000
Ca Co Ru
1 1 2
Direct
0.0000 0.0000 0.0000 Ca
0.5000 0.5000 0.5000 Co
0.2500 0.2500 0.2500 Ru
0.7500 0.7500 0.7500 Ru
```

As for the density of states at the Fermi level: 3.9 states/eV/f.u. The volume comes out at 15.635 Å³/atom.

Name the most stable of them. <2>.

<1>
A relaxed CaCo2Ru2 crystal, computed with PBE.

Cell and atoms, written as POSCAR:
```
CaCo2Ru2
1.0
-2.0234 2.0234 4.9500
2.0234 -2.0234 4.9500
2.0234 2.0234 -4.9500
Ca Co Ru
1 2 2
Direct
0.0000 0.0000 0.0000 Ca
0.3855 0.3855 0.0000 Co
0.6145 0.6145 0.0000 Co
0.2500 0.7500 0.5000 Ru
0.7500 0.2500 0.5000 Ru
```

As for the density of states at the Fermi level: 9.3 states/eV/f.u. The volume comes out at 16.213 Å³/atom.

<2>
A relaxed CaCo2Ru2 crystal, computed with PBE.

Cell and atoms, written as POSCAR:
```
CaCo2Ru2
1.0
7.4350 0.0000 0.0000
0.0000 7.4350 0.0000
0.0000 0.0000 2.6719
Ca Co Ru
2 4 4
Direct
0.0000 0.0000 0.0000 Ca
0.5000 0.5000 0.0000 Ca
0.1709 0.3291 0.5000 Co
0.3291 0.8291 0.5000 Co
0.6709 0.1709 0.5000 Co
0.8291 0.6709 0.5000 Co
0.1224 0.6224 0.0000 Ru
0.3776 0.1224 0.0000 Ru
0.6224 0.8776 0.0000 Ru
0.8776 0.3776 0.0000 Ru
```

As for the density of states at the Fermi level: 7.6 states/eV/f.u. The volume comes out at 14.770 Å³/atom.

Name the most stable of them. <1>.

<1>
A relaxed CaCoSb2Te crystal, computed with PBE.

Cell and atoms, written as POSCAR:
```
CaCoSb2Te
1.0
4.8432 0.0000 0.0000
0.0000 4.8432 0.0000
0.0000 0.0000 5.8213
Ca Co Sb Te
1 1 2 1
Direct
0.0000 0.0000 0.0000 Ca
0.5000 0.5000 0.5000 Co
0.0000 0.5000 0.5000 Sb
0.5000 0.0000 0.5000 Sb
0.5000 0.5000 0.0000 Te
```

As for the density of states at the Fermi level: 3.5 states/eV/f.u. The volume comes out at 27.310 Å³/atom.

<2>
A relaxed CaCoSb2Te crystal, computed with PBE.

Cell and atoms, written as POSCAR:
```
CaCoSb2Te
1.0
5.7171 0.0000 0.0000
0.0000 5.7171 0.0000
0.0000 0.0000 5.6613
Ca Co Sb Te
1 1 2 1
Direct
0.0000 0.0000 0.0000 Ca
0.5000 0.5000 0.5000 Co
0.0000 0.5000 0.0000 Sb
0.5000 0.0000 0.0000 Sb
0.0000 0.0000 0.5000 Te
```

As for the density of states at the Fermi level: 8.0 states/eV/f.u. The volume comes out at 37.008 Å³/atom.

Name the most stable of them. <1>.

<1>
A relaxed CaCoSe2 crystal, computed with PBE.

Cell and atoms, written as POSCAR:
```
CaCoSe2
1.0
-3.5405 3.5405 3.4007
3.5405 -3.5405 3.4007
3.5405 3.5405 -3.4007
Ca Co Se
2 2 4
Direct
0.0000 0.0000 0.0000 Ca
0.7500 0.2500 0.5000 Ca
0.2500 0.7500 0.5000 Co
0.5000 0.5000 0.0000 Co
0.2051 0.6250 0.0801 Se
0.3750 0.4551 0.5801 Se
0.5449 0.1250 0.9199 Se
0.8750 0.7949 0.4199 Se
```

As for the density of states at the Fermi level: 1.7 states/eV/f.u. The volume comes out at 21.314 Å³/atom.

<2>
A relaxed CaCoSe2 crystal, computed with PBE.

Cell and atoms, written as POSCAR:
```
CaCoSe2
1.0
3.9382 0.0000 0.0000
0.0000 3.9382 0.0000
0.0000 0.0000 5.8872
Ca Co Se
1 1 2
Direct
0.0000 0.0000 0.0000 Ca
0.5000 0.5000 0.5554 Co
0.0000 0.0000 0.4967 Se
0.5000 0.5000 0.9686 Se
```

As for the density of states at the Fermi level: 9.0 states/eV/f.u. The volume comes out at 22.827 Å³/atom.

<3>
A relaxed CaCoSe2 crystal, computed with PBE.

Cell and atoms, written as POSCAR:
```
CaCoSe2
1.0
-1.9317 1.9317 5.8686
1.9317 -1.9317 5.8686
1.9317 1.9317 -5.8686
Ca Co Se
1 1 2
Direct
0.0000 0.0000 0.0000 Ca
0.7500 0.2500 0.5000 Co
0.2500 0.7500 0.5000 Se
0.5000 0.5000 0.0000 Se
```

As for the density of states at the Fermi level: 5.7 states/eV/f.u. The volume comes out at 21.898 Å³/atom.

Name the most stable of them. <1>.

<1>
A relaxed CaCoSe2 crystal, computed with PBE.

Cell and atoms, written as POSCAR:
```
CaCoSe2
1.0
-1.8397 2.9339 3.8765
1.8397 -2.9339 3.8765
1.8397 2.9339 -3.8765
Ca Co Se
1 1 2
Direct
0.0000 0.0000 0.0000 Ca
0.5000 0.5000 0.0000 Co
0.3111 0.8111 0.5000 Se
0.6889 0.1889 0.5000 Se
```

As for the density of states at the Fermi level: 1.2 states/eV/f.u. The volume comes out at 20.923 Å³/atom.

<2>
A relaxed CaCoSe2 crystal, computed with PBE.

Cell and atoms, written as POSCAR:
```
CaCoSe2
1.0
3.8904 0.0000 0.0000
0.0000 3.5472 0.0000
-0.5236 0.0000 6.4295
Ca Co Se
1 1 2
Direct
0.0000 0.0000 0.0000 Ca
0.5000 0.0000 0.5000 Co
0.4606 0.5000 0.7392 Se
0.5394 0.5000 0.2608 Se
```

As for the density of states at the Fermi level: 3.4 states/eV/f.u. The volume comes out at 22.182 Å³/atom.

Name the most stable of them. <1>.

<1>
A relaxed CaCoSe2 crystal, computed with PBE.

Cell and atoms, written as POSCAR:
```
CaCoSe2
1.0
2.2206 1.2821 7.4736
-2.2206 1.2821 7.4736
0.0000 -2.5641 7.4736
Ca Co Se
1 1 2
Direct
0.0000 0.0000 0.0000 Ca
0.5000 0.5000 0.5000 Co
0.4002 0.4002 0.4002 Se
0.5998 0.5998 0.5998 Se
```

As for the density of states at the Fermi level: 13.3 states/eV/f.u. The volume comes out at 31.916 Å³/atom.

<2>
A relaxed CaCoSe2 crystal, computed with PBE.

Cell and atoms, written as POSCAR:
```
CaCoSe2
1.0
1.9110 1.1033 6.3560
-1.9110 1.1033 6.3560
0.0000 -2.2066 6.3560
Ca Co Se
1 1 2
Direct
0.0000 0.0000 0.0000 Ca
0.1707 0.1707 0.1707 Co
0.5644 0.5644 0.5644 Se
0.7705 0.7705 0.7705 Se
```

As for the density of states at the Fermi level: 2.0 states/eV/f.u. The volume comes out at 20.102 Å³/atom.

Name the most stable of them. <2>.